Entry w
# TiFe2I, relaxed, DFT PBE-GGA
# Calculated volume, Å³/atom: 17.65
data_TiFe2I
_chemical_formula_sum 'Ti4 Fe8 I4'
_cell_length_a 3.9049
_cell_length_b 3.9049
_cell_length_c 18.5173
_cell_angle_alpha 90.00
_cell_angle_beta 90.00
_cell_angle_gamma 90.00
_symmetry_space_group_name_H-M 'I -4 2 d'
_symmetry_Int_Tables_number 122
_symmetry_space_group_name_Hall 'I -4 2bw'
loop_
_atom_site_label
_atom_site_type_symbol
_atom_site_fract_x
_atom_site_fract_y
_atom_site_fract_z
Ti1 Ti 0.0000 0.0000 0.0000
Fe1 Fe 0.2150 0.2500 0.1250
I1 I 0.0000 0.0000 0.5000

***

Entry x
# TiFe2I, relaxed, DFT PBE-GGA
# Calculated volume, Å³/atom: 14.82
data_TiFe2I
_chemical_formula_sum 'Ti4 Fe8 I4'
_cell_length_a 6.1900
_cell_length_b 6.1900
_cell_length_c 6.1900
_cell_angle_alpha 90.00
_cell_angle_beta 90.00
_cell_angle_gamma 90.00
_symmetry_space_group_name_H-M 'F m -3 m'
_symmetry_Int_Tables_number 225
_symmetry_space_group_name_Hall '-F 4 2 3'
loop_
_atom_site_label
_atom_site_type_symbol
_atom_site_fract_x
_atom_site_fract_y
_atom_site_fract_z
Ti1 Ti 0.0000 0.0000 0.0000
Fe1 Fe 0.2500 0.2500 0.2500
I1 I 0.0000 0.0000 0.5000

***

Q: What are the energies relative to the best structure? A: entry w 0.139; entry x 0.000, in eV/atom.

***

Entry w
# Ti2FeI, relaxed, DFT PBE-GGA
# Calculated volume, Å³/atom: 23.96
data_Ti2FeI
_chemical_formula_sum 'Ti8 Fe4 I4'
_cell_length_a 5.7915
_cell_length_b 5.7915
_cell_length_c 11.4306
_cell_angle_alpha 90.00
_cell_angle_beta 90.00
_cell_angle_gamma 90.00
_symmetry_space_group_name_H-M 'I -4 2 d'
_symmetry_Int_Tables_number 122
_symmetry_space_group_name_Hall 'I -4 2bw'
loop_
_atom_site_label
_atom_site_type_symbol
_atom_site_fract_x
_atom_site_fract_y
_atom_site_fract_z
Ti1 Ti 0.1536 0.2500 0.1250
Fe1 Fe 0.0000 0.0000 0.0000
I1 I 0.0000 0.0000 0.5000

***

Entry x
# Ti2FeI, relaxed, DFT PBE-GGA
# Calculated volume, Å³/atom: 16.61
data_Ti2FeI
_chemical_formula_sum 'Ti8 Fe4 I4'
_cell_length_a 6.4291
_cell_length_b 6.4291
_cell_length_c 6.4291
_cell_angle_alpha 90.00
_cell_angle_beta 90.00
_cell_angle_gamma 90.00
_symmetry_space_group_name_H-M 'F m -3 m'
_symmetry_Int_Tables_number 225
_symmetry_space_group_name_Hall '-F 4 2 3'
loop_
_atom_site_label
_atom_site_type_symbol
_atom_site_fract_x
_atom_site_fract_y
_atom_site_fract_z
Ti1 Ti 0.2500 0.2500 0.2500
Fe1 Fe 0.0000 0.0000 0.0000
I1 I 0.0000 0.0000 0.5000

***

Q: What are the energies relative to the best structure? A: entry w 0.081; entry x 0.000, in eV/atom.

***

Entry w
# Tl3FeI6, relaxed, DFT PBE-GGA
# Calculated volume, Å³/atom: 47.66
data_Tl3FeI6
_chemical_formula_sum 'Tl12 Fe4 I24'
_cell_length_a 13.5687
_cell_length_b 16.9091
_cell_length_c 8.3092
_cell_angle_alpha 90.00
_cell_angle_beta 90.00
_cell_angle_gamma 90.00
_symmetry_space_group_name_H-M 'C m c 21'
_symmetry_Int_Tables_number 36
_symmetry_space_group_name_Hall 'C 2c -2'
loop_
_atom_site_label
_atom_site_type_symbol
_atom_site_fract_x
_atom_site_fract_y
_atom_site_fract_z
Tl1 Tl 0.0000 0.0813 0.0000
Tl2 Tl 0.1942 0.4087 0.8909
Fe1 Fe 0.0000 0.3047 0.3081
I1 I 0.0000 0.2956 0.6123
I2 I 0.0000 0.4494 0.2082
I3 I 0.1520 0.2377 0.1843
I4 I 0.1661 0.0404 0.6965

***

Entry x
# Tl3FeI6, relaxed, DFT PBE-GGA
# Calculated volume, Å³/atom: 44.38
data_Tl3FeI6
_chemical_formula_sum 'Tl18 Fe6 I36'
_cell_length_a 13.5027
_cell_length_b 13.5027
_cell_length_c 16.8629
_cell_angle_alpha 90.00
_cell_angle_beta 90.00
_cell_angle_gamma 120.00
_symmetry_space_group_name_H-M 'R -3'
_symmetry_Int_Tables_number 148
_symmetry_space_group_name_Hall '-R 3'
loop_
_atom_site_label
_atom_site_type_symbol
_atom_site_fract_x
_atom_site_fract_y
_atom_site_fract_z
Tl1 Tl 0.0626 0.6025 0.3698
Fe1 Fe 0.0000 0.0000 0.0000
Fe2 Fe 0.0000 0.0000 0.5000
I1 I 0.0006 0.8297 0.9038
I2 I 0.0416 0.8547 0.4039

***

Q: What are the energies relative to the best structure? A: entry w 0.000; entry x 0.049, in eV/atom.

***

Entry w
# VFe2I8, relaxed, DFT PBE-GGA
# Calculated volume, Å³/atom: 43.99
data_VFe2I8
_chemical_formula_sum 'V2 Fe4 I16'
_cell_length_a 12.9319
_cell_length_b 11.0485
_cell_length_c 6.7841
_cell_angle_alpha 90.00
_cell_angle_beta 93.29
_cell_angle_gamma 90.00
_symmetry_space_group_name_H-M 'C 1 2/m 1'
_symmetry_Int_Tables_number 12
_symmetry_space_group_name_Hall '-C 2y'
loop_
_atom_site_label
_atom_site_type_symbol
_atom_site_fract_x
_atom_site_fract_y
_atom_site_fract_z
V1 V 0.0000 0.0000 0.0000
Fe1 Fe 0.1895 0.0000 0.6372
I1 I 0.0888 0.1814 0.7787
I2 I 0.1229 0.5000 0.2533
I3 I 0.1830 0.0000 0.2539

***

Entry x
# VFe2I8, relaxed, DFT PBE-GGA
# Calculated volume, Å³/atom: 46.12
data_VFe2I8
_chemical_formula_sum 'V2 Fe4 I16'
_cell_length_a 13.9084
_cell_length_b 10.0739
_cell_length_c 7.2793
_cell_angle_alpha 90.00
_cell_angle_beta 95.80
_cell_angle_gamma 90.00
_symmetry_space_group_name_H-M 'C 1 2/m 1'
_symmetry_Int_Tables_number 12
_symmetry_space_group_name_Hall '-C 2y'
loop_
_atom_site_label
_atom_site_type_symbol
_atom_site_fract_x
_atom_site_fract_y
_atom_site_fract_z
V1 V 0.0000 0.0000 0.0000
Fe1 Fe 0.1919 0.0000 0.1585
I1 I 0.0845 0.1969 0.2353
I2 I 0.1381 0.5000 0.6984
I3 I 0.1630 0.0000 0.8033

***

Q: What are the energies relative to the best structure? A: entry w 0.023; entry x 0.000, in eV/atom.